The following is a DFT calculation (PBE) of an optimized crystal structure of CdCuPt.

Results
V, Å³/atom: 15.9
Energy relative to the lowest polymorph listed for this composition, meV per atom: 25
Fermi-level density of states, states/eV/f.u.: 0.75
Space group: No. 107
Calculated total energy, eV for the cell shown: -11.50
Formation enthalpy at 0 K, eV per atom: -0.15

```
data_CdCuPt
_chemical_formula_sum 'Cd1 Cu1 Pt1'
_cell_length_a 5.656
_cell_length_b 5.657
_cell_length_c 3.018
_cell_angle_alpha 74.52
_cell_angle_beta 74.53
_cell_angle_gamma 30.94
_space_group_name_H-M_alt 'P 1'
_space_group_IT_number 1
_space_group_name_Hall 'P 1'
loop_
_atom_site_label
_atom_site_type_symbol
_atom_site_fract_x
_atom_site_fract_y
_atom_site_fract_z
Pt1 Pt 0.321 0.321 0.679
Cd1 Cd 0.004 0.004 0.996
Cu1 Cu 0.675 0.675 0.325
```